[1]
{"formula": "LaZnNi2", "functional": "PBE", "state": "relaxed", "ef_ev_per_atom": -0.328, "magnetic_moment_mub_per_fu": 0.0, "total_energy_ev_per_cell": -76.3, "cell": [[6.9429, 0.0000, 0.0000], [0.0000, 4.1134, 0.0000], [0.0000, 0.0000, 10.0158]], "species": ["La", "La", "La", "La", "Zn", "Zn", "Zn", "Zn", "Ni", "Ni", "Ni", "Ni", "Ni", "Ni", "Ni", "Ni"], "frac_coords": [[0.2213, 0.2500, 0.1816], [0.2787, 0.7500, 0.6816], [0.7213, 0.2500, 0.3184], [0.7787, 0.7500, 0.8184], [0.0585, 0.7500, 0.4102], [0.4415, 0.2500, 0.9102], [0.5585, 0.7500, 0.0898], [0.9415, 0.2500, 0.5898], [0.0625, 0.2500, 0.9250], [0.2479, 0.7500, 0.9562], [0.2521, 0.2500, 0.4562], [0.4375, 0.7500, 0.4250], [0.5625, 0.2500, 0.5750], [0.7479, 0.7500, 0.5438], [0.7521, 0.2500, 0.0438], [0.9375, 0.7500, 0.0750]]}

=====

[2]
{"formula": "LaZn2Ni", "functional": "PBE", "state": "relaxed", "ef_ev_per_atom": -0.277, "magnetic_moment_mub_per_fu": 0.0, "total_energy_ev_per_cell": -14.4, "cell": [[3.6377, -2.1056, 0.0000], [3.6377, 2.1056, 0.0000], [-2.4446, 0.0000, 5.2442]], "species": ["La", "Zn", "Zn", "Ni"], "frac_coords": [[0.0000, 0.0000, 0.0000], [0.2021, 0.2021, 0.6065], [0.7979, 0.7979, 0.3935], [0.5000, 0.5000, 0.5000]]}